This record from the Alexandria database describes an optimized crystal structure of CaEuCuHg. The functional is PBE-GGA.

Results
Density of states at the Fermi level (states/eV per atom): 2.049
Formation energy from the elements (kJ/mol of formula units): -107
Calculated volume (Å³/cell): 104.8
E_tot (eV per atom): -4.447
Size of the total moment (μB/f.u.): 7.21

a b c (Å): 5.2926 5.2926 5.2926
angles (deg): 60.00 60.00 60.00
With the nearest neighbours (Å) after each atom.
Sites, in units of the cell vectors:
Ca 0.0000 0.0000 0.0000  4 Cu 3.24, 4 Hg 3.24
Eu 0.5000 0.5000 0.5000  4 Cu 3.24, 4 Hg 3.24
Cu 0.7500 0.7500 0.7500  4 Ca 3.24, 4 Eu 3.24
Hg 0.2500 0.2500 0.2500  4 Ca 3.24, 4 Eu 3.24